This record from Alexandria via LeMat-Bulk describes a relaxed TlH2Ru crystal. The functional is PBE-GGA.

* energy above the most stable polymorph in this dataset: 0.672 eV/atom

CIF file:
```
data_TlH2Ru
_cell_length_a 5.6023
_cell_length_b 5.6023
_cell_length_c 5.6023
_cell_angle_alpha 90.00
_cell_angle_beta 90.00
_cell_angle_gamma 90.00
_space_group_name_H-M_alt 'F m -3 m'
_space_group_IT_number 225
_space_group_name_Hall '-F 4 2 3'
loop_
_atom_site_label
_atom_site_type_symbol
_atom_site_fract_x
_atom_site_fract_y
_atom_site_fract_z
_atom_site_occupancy
Tl1 Tl 0.0000 0.0000 0.0000 1
H1 H 0.2500 0.2500 0.2500 1
Ru1 Ru 0.0000 0.0000 0.5000 1
```